# CaSb2P

Crystalline CaSb2P at its relaxed geometry (GGA-PBE, Alexandria).

Lattice parameters (Å, degrees): 7.677 7.677 6.775 55.49 55.49 90.00
Positions (direct):
Sb  0.560  0.125  0.250
Sb  0.190  0.625  0.250
Sb  0.375  0.440  0.750
Sb  0.875  0.810  0.750
Ca  0.000  0.000  0.000
Ca  0.750  0.250  0.500
P  0.500  0.500  0.000
P  0.250  0.750  0.500

Output
- crystal system = tetragonal
- raw formation energy (meV/atom) = -120
- spin magnetization (μB per cell) = 0.0

***

# W2N3

Crystalline W2N3 at its relaxed geometry (GGA-PBE, Alexandria).

Lattice parameters (Å, degrees): 2.918 2.918 16.728 90.00 90.00 120.00
Positions (direct):
W  0.333  0.667  0.662
W  0.667  0.333  0.338
W  0.667  0.333  0.162
W  0.333  0.667  0.838
N  0.333  0.667  0.405
N  0.667  0.333  0.595
N  0.667  0.333  0.905
N  0.333  0.667  0.095
N  0.333  0.667  0.250
N  0.667  0.333  0.750

Output
- crystal system = hexagonal
- raw formation energy (meV/atom) = -101
- spin magnetization (μB per cell) = 0.0

***

# Nd5DySe6

Crystalline Nd5DySe6 at its relaxed geometry (GGA-PBE, Alexandria).

Lattice parameters (Å, degrees): 7.272 7.286 7.294 60.04 80.37 70.42
Positions (direct):
Nd  0.500  0.172  0.655
Nd  0.000  0.332  0.335
Nd  0.500  0.500  0.000
Nd  0.000  0.668  0.665
Nd  0.500  0.828  0.345
Dy  0.000  0.000  0.000
Se  0.756  0.081  0.324
Se  0.244  0.595  0.324
Se  0.248  0.242  0.000
Se  0.752  0.758  0.000
Se  0.756  0.405  0.676
Se  0.244  0.919  0.676

Output
- crystal system = monoclinic
- raw formation energy (meV/atom) = -1825
- spin magnetization (μB per cell) = 0.0

***

# NpNiPt

Crystalline NpNiPt at its relaxed geometry (GGA-PBE, Alexandria).

Lattice parameters (Å, degrees): 3.371 4.342 4.342 120.00 90.00 90.00
Last column: magnetic moment on the atom in μB.
Positions (direct):
Np  0.000  0.000  0.000  3.60
Ni  0.500  0.333  0.667  -0.35
Pt  0.500  0.667  0.333  -0.15

Output
- energy of formation (eV/atom) = -0.274
- crystal system = hexagonal
- spin magnetization (μB per cell) = 3.4
- energy above the lowest structure with this stoichiometry (meV per atom) = 150.7